# SmGdScSn

SmGdScSn after structural relaxation (GGA-PBE, Alexandria via LeMat-Bulk).

The structure belongs to space group F-43m (No. 216); the cell edges are 7.6001, 7.6001 and 7.6001 Å and the angles 90.00°, 90.00° and 90.00°. The distinct sites, in fractional coordinates, are Sm at (0.0000, 0.0000, 0.0000), Gd at (0.0000, 0.0000, 0.5000), Sc at (0.2500, 0.2500, 0.7500) and Sn at (0.2500, 0.2500, 0.2500).

The calculation puts the uncorrected energy at -7.56 eV/atom. The value obtained for the energy relative to the elements is -0.274 eV per atom. As for the size of the total moment: 32.9 μB per cell. Its density of states at the Fermi level is 1.225 states/eV/atom.